(1)
VASP calculation (PBE) on an optimized crystal structure of Y3Tm12Al.

```
Y3Tm12Al
1.0
-3.266 -0.956 -3.499
1.269 -4.711 0.103
-13.764 -3.407 13.778
Y Tm Al
3 12 1
direct
0.000 0.000 0.246
0.000 0.000 0.500
0.000 0.000 0.754
0.500 0.500 0.000
0.500 0.500 0.242
0.500 0.500 0.500
0.500 0.500 0.758
0.500 0.000 0.117
0.500 0.000 0.372
0.500 0.000 0.628
0.500 0.000 0.883
0.000 0.500 0.117
0.000 0.500 0.372
0.000 0.500 0.628
0.000 0.500 0.883
0.000 0.000 0.000
```

ΔH_f (0 K) ... -0.01 eV/atom
Calculated total energy ... -4.81 eV per atom
Space-group type ... P4/mmm (123)
Calculated volume ... 29.4 Å³/atom

(2)
VASP calculation (PBE) on an optimized crystal structure of AcLa7Pr2.

```
AcLa7Pr2
1.0
6.196 -1.882 -0.652
-2.397 7.826 -1.860
-0.893 1.675 8.162
Ac La Pr
1 7 2
direct
0.000 0.000 0.000
0.999 0.798 0.403
0.001 0.202 0.597
0.003 0.597 0.801
0.997 0.403 0.199
0.499 0.898 0.204
0.501 0.102 0.796
0.500 0.500 0.000
0.497 0.697 0.598
0.503 0.303 0.402
```

ΔH_f (0 K) ... 0.01 eV/atom
Calculated total energy ... -4.80 eV per atom
Space-group type ... P-1 (2)
Calculated volume ... 37.3 Å³/atom

(3)
VASP calculation (PBE) on an optimized crystal structure of Ba2BeCu2.

```
Ba2BeCu2
1.0
7.788 0.000 0.000
0.000 7.788 0.000
0.000 0.000 4.539
Be Ba Cu
2 4 4
direct
0.000 0.000 0.000
0.500 0.500 0.000
0.188 0.688 0.500
0.688 0.812 0.500
0.812 0.312 0.500
0.312 0.188 0.500
0.387 0.887 0.000
0.887 0.613 0.000
0.613 0.113 0.000
0.113 0.387 0.000
```

ΔH_f (0 K) ... 0.34 eV/atom
Calculated total energy ... -2.81 eV per atom
Space-group type ... P4/mbm (127)
Calculated volume ... 27.5 Å³/atom

(4)
VASP calculation (PBE) on an optimized crystal structure of Tb2CeHoBi4.

```
Tb2CeHoBi4
1.0
4.517 0.000 0.000
0.000 7.809 0.135
0.000 -2.730 7.324
Tb Ce Ho Bi
2 1 1 4
direct
0.500 0.000 0.500
0.000 0.500 0.500
0.500 0.500 0.000
0.000 0.000 0.000
0.500 0.247 0.250
0.500 0.753 0.750
0.000 0.246 0.747
0.000 0.754 0.253
```

ΔH_f (0 K) ... -0.85 eV/atom
Calculated total energy ... -5.26 eV per atom
Space-group type ... P2/m (10)
Calculated volume ... 32.5 Å³/atom

(5)
VASP calculation (PBE) on an optimized crystal structure of Dy8MgC4.

```
Dy8MgC4
1.0
3.525 0.000 0.764
1.611 8.874 1.084
-0.162 -0.024 9.266
Dy Mg C
8 1 4
direct
0.154 0.322 0.371
0.558 0.647 0.237
0.474 0.356 0.696
0.878 0.681 0.563
0.853 0.985 0.309
0.218 0.659 0.905
0.179 0.018 0.624
0.814 0.344 0.028
0.516 0.001 0.967
0.365 0.835 0.436
0.847 0.509 0.797
0.184 0.495 0.137
0.667 0.168 0.498
```

ΔH_f (0 K) ... -0.22 eV/atom
Calculated total energy ... -6.01 eV per atom
Space-group type ... C2/m (12)
Calculated volume ... 22.4 Å³/atom

(6)
VASP calculation (PBE) on an optimized crystal structure of SmZnRh.

```
SmZnRh
1.0
3.941 0.000 -1.028
-0.268 3.932 -1.028
-0.066 -0.071 7.815
Sm Zn Rh
2 2 2
direct
0.671 0.671 0.342
0.329 0.329 0.658
0.500 0.000 0.000
0.000 0.500 0.000
0.117 0.117 0.234
0.883 0.883 0.766
```

ΔH_f (0 K) ... -0.62 eV/atom
Calculated total energy ... -5.06 eV per atom
Space-group type ... I4/mmm (139)
Calculated volume ... 20.1 Å³/atom

(7)
VASP calculation (PBE) on an optimized crystal structure of KRbTl2Te2.

```
KRbTl2Te2
1.0
5.811 0.000 0.000
-2.906 5.033 0.000
0.000 0.000 8.039
K Rb Tl Te
1 1 2 2
direct
0.000 0.000 0.500
0.000 0.000 0.000
0.333 0.667 0.698
0.667 0.333 0.302
0.333 0.667 0.274
0.667 0.333 0.726
```

Calculated total energy ... -2.83 eV per atom
Space-group type ... P-3m1 (164)
Formation energy from raw total energies ... -0.646 eV/atom
Calculated volume ... 39.2 Å³/atom

(8)
VASP calculation (PBE) on an optimized crystal structure of AlIn2W.

```
AlIn2W
1.0
4.683 0.000 0.000
0.000 4.015 0.000
0.000 0.000 4.015
Al W In
1 1 2
direct
0.500 0.000 0.500
0.500 0.500 0.000
0.000 0.000 0.000
0.000 0.500 0.500
```

ΔH_f (0 K) ... 0.57 eV/atom
Calculated total energy ... -4.97 eV per atom
Space-group type ... P4/mmm (123)
Calculated volume ... 18.9 Å³/atom